No. 1
DFT (PBE) results for crystalline InTcMo at its relaxed geometry.

For the relative energy among the computed polymorphs, the calculation gives 0.159 eV per atom. Its symmetry is P3m1, No. 156. The calculation puts the formation energy at 0.257 eV/atom. Its density is 9.9 g/cm3.

Structure (POSCAR):
```
InTcMo
1.0
-1.502 1.920 1.661
-0.288 -2.898 0.469
5.198 0.206 4.462
Mo Tc In
1 1 1
Direct
0.667 0.333 0.357
0.333 0.667 0.646
0.000 0.000 0.997
```

***

No. 2
DFT (PBE) results for crystalline In3TcMo at its relaxed geometry.

For the relative energy among the computed polymorphs, the calculation gives 0.000 eV per atom. Its symmetry is Pm-3m, No. 221. The calculation puts the formation energy at 1.099 eV/atom. Its density is 6.6 g/cm3.

Structure (POSCAR):
```
In3TcMo
1.0
-4.323 1.178 2.531
-2.739 -2.691 -3.426
0.539 -4.225 2.887
In Tc Mo
3 1 1
Direct
0.500 0.000 0.000
0.000 0.500 0.000
0.000 0.000 0.500
0.000 0.000 0.000
0.500 0.500 0.500
```

***

No. 3
DFT (PBE) results for crystalline In3TcMo at its relaxed geometry.

For the relative energy among the computed polymorphs, the calculation gives 0.237 eV per atom. Its symmetry is Pm-3m, No. 221. The calculation puts the formation energy at 1.336 eV/atom. Its density is 6.3 g/cm3.

Structure (POSCAR):
```
In3TcMo
1.0
5.223 0.000 0.000
0.000 5.223 0.000
0.000 0.000 5.223
In Tc Mo
3 1 1
Direct
0.000 0.500 0.000
0.500 0.000 0.000
0.000 0.000 0.500
0.500 0.500 0.500
0.000 0.000 0.000
```

***

No. 4
DFT (PBE) results for crystalline InTc2Mo2 at its relaxed geometry.

For the relative energy among the computed polymorphs, the calculation gives 0.000 eV per atom. Its symmetry is P4/mbm, No. 127. The calculation puts the formation energy at 0.331 eV/atom. Its density is 9.8 g/cm3.

Structure (POSCAR):
```
InTc2Mo2
1.0
7.680 0.000 0.000
0.000 7.680 0.000
0.000 0.000 2.888
Mo In Tc
4 2 4
Direct
0.872 0.628 0.000
0.372 0.872 0.000
0.628 0.128 0.000
0.128 0.372 0.000
0.500 0.500 0.000
0.000 0.000 0.000
0.163 0.663 0.500
0.337 0.163 0.500
0.837 0.337 0.500
0.663 0.837 0.500
```

***

No. 5
DFT (PBE) results for crystalline InTcMo2 at its relaxed geometry.

Its symmetry is Immm, No. 71. The calculation puts the formation energy at 0.186 eV/atom. Its density is 10.2 g/cm3.

Structure (POSCAR):
```
InTcMo2
1.0
5.345 -0.004 0.011
4.369 3.078 0.011
1.847 0.585 4.014
Mo Tc In
2 1 1
Direct
0.513 0.513 0.487
0.987 0.987 0.013
0.250 0.250 0.250
0.750 0.750 0.750
```

***

No. 6
DFT (PBE) results for crystalline InTc2Mo at its relaxed geometry.

Its symmetry is Immm, No. 71. The calculation puts the formation energy at 0.261 eV/atom. Its density is 10.3 g/cm3.

Structure (POSCAR):
```
InTc2Mo
1.0
5.245 0.000 -0.006
2.223 4.750 0.006
-3.184 -3.239 2.622
Mo Tc In
1 2 1
Direct
0.250 0.750 0.500
0.484 0.484 0.000
0.016 0.016 0.000
0.750 0.250 0.500
```